# 1
The following is a GGA-PBE calculation of a relaxed structure of LiHoF2, from Alexandria.

Results
- VASP energy (eV/atom) = -4.910

a = 7.852 Å, b = 7.852 Å, c = 7.852 Å
α = 129.37°, β = 129.37°, γ = 74.41°
Positions (direct):
Li 0.000 0.000 0.000
Li 0.000 0.000 0.500
Li 0.000 0.500 0.000
Li 0.500 0.000 0.500
Ho 0.000 0.500 0.500
Ho 0.500 0.000 0.000
Ho 0.500 0.500 0.000
Ho 0.500 0.500 0.500
F 0.223 0.687 0.536
F 0.313 0.348 0.536
F 0.313 0.777 0.964
F 0.348 0.313 0.036
F 0.652 0.687 0.964
F 0.687 0.223 0.036
F 0.687 0.652 0.464
F 0.777 0.313 0.464

---

# 2
The following is a GGA-PBE calculation of a relaxed structure of Si2Pt5Pb, from Alexandria.

Results
- VASP energy (eV/atom) = -6.103

a = 3.819 Å, b = 7.032 Å, c = 10.234 Å
α = 90.00°, β = 90.00°, γ = 90.00°
Positions (direct):
Si 0.000 0.000 0.236
Si 0.000 0.000 0.764
Si 0.500 0.500 0.264
Si 0.500 0.500 0.736
Pt 0.000 0.000 0.000
Pt 0.000 0.295 0.351
Pt 0.000 0.295 0.649
Pt 0.000 0.705 0.351
Pt 0.000 0.705 0.649
Pt 0.500 0.205 0.149
Pt 0.500 0.205 0.851
Pt 0.500 0.500 0.500
Pt 0.500 0.795 0.149
Pt 0.500 0.795 0.851
Pb 0.000 0.500 0.000
Pb 0.500 0.000 0.500

---

Number 1: E_form (uncorrected) -9.40 eV/f.u.. Number 2: E_form (uncorrected) -4.07 eV/f.u..